The following is a DFT calculation (PBE with a Hubbard U) of an optimized crystal structure of Sr3Mn2GaO9.

Lattice parameters (Å, degrees): 5.503 5.503 6.750 90.00 90.00 120.00
Site moments in Bohr magnetons follow the coordinates.
Sites, in units of the cell vectors:
Sr 0.333 0.667 0.668  0.00
Sr 0.000 0.000 0.000  0.00
Sr 0.667 0.333 0.332  0.00
Mn 0.333 0.667 0.169  3.04
Mn 0.667 0.333 0.831  3.04
Ga 0.000 0.000 0.500  -0.04
O 0.831 0.169 0.671  0.02
O 0.831 0.662 0.671  0.02
O 0.338 0.169 0.671  0.02
O 0.662 0.831 0.329  0.02
O 0.169 0.338 0.329  0.02
O 0.169 0.831 0.329  0.02
O 0.500 0.000 0.000  0.08
O 0.000 0.500 0.000  0.08
O 0.500 0.500 0.000  0.08

DOS(E_F)	6.4	states/eV/f.u.
energy	-98.1	eV per cell

---

The following is a DFT calculation (PBE with a Hubbard U) of an optimized crystal structure of Sr4Mn2Ga2O11.

Lattice parameters (Å, degrees): 8.559 8.539 5.619 71.00 70.63 38.37
Site moments in Bohr magnetons follow the coordinates.
Sites, in units of the cell vectors:
Sr 0.621 0.124 0.876  0.00
Sr 0.124 0.621 0.379  0.00
Sr 0.379 0.876 0.124  0.00
Sr 0.876 0.379 0.621  0.00
Mn 0.000 0.500 0.000  3.42
Mn 0.500 0.000 0.500  3.42
Ga 0.731 0.269 0.269  0.00
Ga 0.269 0.731 0.731  0.00
O 0.081 0.673 0.919  -0.06
O 0.673 0.081 0.327  -0.06
O 0.919 0.327 0.081  -0.06
O 0.327 0.919 0.673  -0.06
O 0.729 0.729 0.271  -0.12
O 0.271 0.271 0.729  -0.12
O 0.750 0.750 0.750  -0.10
O 0.250 0.250 0.250  -0.10
O 0.500 0.500 0.500  0.00
O 0.000 0.000 0.500  -0.07
O 0.500 0.500 0.000  -0.07

DOS(E_F)	3.7	states/eV/f.u.
energy	-122.8	eV per cell

---

The following is a DFT calculation (PBE with a Hubbard U) of an optimized crystal structure of SrMn3Ga4O12.

Lattice parameters (Å, degrees): 6.507 6.507 6.507 109.47 109.47 109.47
Site moments in Bohr magnetons follow the coordinates.
Sites, in units of the cell vectors:
Sr 0.000 0.000 0.000  0.01
Mn 0.000 0.500 0.500  3.89
Mn 0.500 0.500 0.000  3.89
Mn 0.500 0.000 0.500  3.89
Ga 0.500 0.000 0.000  0.02
Ga 0.500 0.500 0.500  0.02
Ga 0.000 0.500 0.000  0.02
Ga 0.000 0.000 0.500  0.02
O 0.313 0.821 0.134  -0.09
O 0.687 0.179 0.866  -0.09
O 0.687 0.821 0.508  -0.09
O 0.866 0.687 0.179  -0.09
O 0.821 0.134 0.313  -0.09
O 0.179 0.492 0.313  -0.09
O 0.492 0.313 0.179  -0.09
O 0.179 0.866 0.687  -0.09
O 0.313 0.179 0.492  -0.09
O 0.134 0.313 0.821  -0.09
O 0.821 0.508 0.687  -0.09
O 0.508 0.687 0.821  -0.09

DOS(E_F)	12.4	states/eV/f.u.
energy	-130.9	eV per cell

---

The following is a DFT calculation (PBE with a Hubbard U) of an optimized crystal structure of TaMn2GaO.

Lattice parameters (Å, degrees): 5.728 3.569 5.728 90.00 90.00 90.00
Site moments in Bohr magnetons follow the coordinates.
Sites, in units of the cell vectors:
Mn 0.000 0.000 0.500  4.54
Mn 0.500 0.000 0.000  4.57
O 0.000 0.500 0.000  0.04
Ga 0.000 0.000 0.000  -0.02
Ta 0.500 0.500 0.500  -1.50

DOS(E_F)	3.8	states/eV/f.u.
energy	-30.2	eV per cell

---

The following is a DFT calculation (PBE with a Hubbard U) of an optimized crystal structure of MnGa2TeO6.

Lattice parameters (Å, degrees): 5.670 6.881 6.881 81.98 80.03 80.03
Site moments in Bohr magnetons follow the coordinates.
Sites, in units of the cell vectors:
Mn 0.250 0.907 0.093  4.63
Mn 0.750 0.093 0.907  4.63
Ga 0.241 0.802 0.611  0.01
Ga 0.259 0.389 0.198  0.01
Ga 0.759 0.198 0.389  0.01
Ga 0.741 0.611 0.802  0.01
Te 0.250 0.282 0.718  0.02
Te 0.750 0.718 0.282  0.02
O 0.149 0.010 0.784  0.02
O 0.351 0.216 0.990  0.02
O 0.851 0.990 0.216  0.02
O 0.649 0.784 0.010  0.02
O 0.401 0.876 0.359  0.02
O 0.099 0.641 0.124  0.02
O 0.599 0.124 0.641  0.02
O 0.901 0.359 0.876  0.02
O 0.948 0.727 0.596  0.01
O 0.552 0.404 0.273  0.01
O 0.052 0.273 0.404  0.01
O 0.448 0.596 0.727  0.01

DOS(E_F)	0.0	states/eV/f.u.
energy	-124.3	eV per cell

---

The following is a DFT calculation (PBE with a Hubbard U) of an optimized crystal structure of MnGaTe2O8.

Lattice parameters (Å, degrees): 6.043 6.043 5.456 90.00 90.00 120.00
Site moments in Bohr magnetons follow the coordinates.
Sites, in units of the cell vectors:
Mn 0.000 0.000 0.000  3.55
Ga 0.000 0.000 0.500  0.01
Te 0.667 0.333 0.209  0.00
Te 0.333 0.667 0.791  0.00
O 0.333 0.667 0.122  -0.01
O 0.278 0.139 0.248  -0.05
O 0.861 0.139 0.248  -0.05
O 0.667 0.333 0.878  -0.01
O 0.139 0.861 0.752  -0.05
O 0.722 0.861 0.752  -0.05
O 0.139 0.278 0.752  -0.05
O 0.861 0.722 0.248  -0.05

DOS(E_F)	4.0	states/eV/f.u.
energy	-68.3	eV per cell

---

The following is a DFT calculation (PBE with a Hubbard U) of an optimized crystal structure of MnTlGaO3.

Lattice parameters (Å, degrees): 5.558 5.637 6.096 117.54 90.00 90.00
Site moments in Bohr magnetons follow the coordinates.
Sites, in units of the cell vectors:
Mn 0.250 0.423 0.845  4.59
Mn 0.750 0.577 0.155  4.59
Tl 0.750 0.256 0.511  0.01
Tl 0.250 0.744 0.489  0.01
Ga 0.250 0.059 0.119  0.03
Ga 0.750 0.941 0.881  0.03
O 0.250 0.232 0.463  0.04
O 0.000 0.233 0.000  0.05
O 0.500 0.767 0.000  0.05
O 0.500 0.233 0.000  0.05
O 0.000 0.767 0.000  0.05
O 0.750 0.768 0.537  0.04

energy	-72.5	eV per cell

---

The following is a DFT calculation (PBE with a Hubbard U) of an optimized crystal structure of Tm2MnGaO6.

Lattice parameters (Å, degrees): 4.856 5.106 5.106 90.00 90.00 90.00
Site moments in Bohr magnetons follow the coordinates.
Sites, in units of the cell vectors:
Tm 0.999 0.500 0.000  0.02
Tm 0.999 0.000 0.500  0.02
Mn 0.605 0.500 0.500  3.80
Ga 0.569 0.000 0.000  0.02
O 0.726 0.247 0.247  -0.01
O 0.726 0.247 0.753  -0.01
O 0.179 0.500 0.500  0.09
O 0.189 0.000 0.000  0.00
O 0.726 0.753 0.753  -0.01
O 0.726 0.753 0.247  -0.01

energy	-74.0	eV per cell

---

The following is a DFT calculation (PBE with a Hubbard U) of an optimized crystal structure of TmMnGa2O6.

Lattice parameters (Å, degrees): 5.221 5.214 5.546 62.05 61.63 59.95
Site moments in Bohr magnetons follow the coordinates.
Sites, in units of the cell vectors:
Tm 0.801 0.800 0.598  0.01
Mn 0.320 0.320 0.038  2.03
Ga 0.527 0.528 0.415  0.01
Ga 0.014 0.018 0.955  0.01
O 0.612 0.232 0.244  -0.02
O 0.237 0.912 0.241  -0.01
O 0.912 0.610 0.243  -0.01
O 0.371 0.720 0.760  -0.02
O 0.719 0.149 0.762  -0.02
O 0.149 0.372 0.760  -0.02

DOS(E_F)	0.0	states/eV/f.u.
energy	-68.2	eV per cell

---

The following is a DFT calculation (PBE with a Hubbard U) of an optimized crystal structure of UMnGa2O8.

Lattice parameters (Å, degrees): 5.786 5.786 5.786 110.34 110.34 107.75
Site moments in Bohr magnetons follow the coordinates.
Sites, in units of the cell vectors:
U 0.250 0.750 0.500  0.09
Mn 0.000 0.000 0.000  3.96
Ga 0.750 0.250 0.500  0.00
Ga 0.500 0.500 0.000  0.00
O 0.352 0.052 0.301  -0.19
O 0.315 0.514 0.199  -0.05
O 0.315 0.116 0.801  -0.05
O 0.751 0.052 0.699  -0.19
O 0.884 0.685 0.199  -0.05
O 0.948 0.249 0.301  -0.19
O 0.948 0.648 0.699  -0.19
O 0.486 0.685 0.801  -0.05

DOS(E_F)	8.5	states/eV/f.u.
energy	-86.9	eV per cell